# Zr2WAu | the Alexandria database | PBE | optimized geometry
data_Zr2WAu
_cell_length_a 10.0070
_cell_length_b 10.0070
_cell_length_c 10.0070
_cell_angle_alpha 17.44
_cell_angle_beta 17.44
_cell_angle_gamma 17.44
_space_group_name_H-M_alt 'P 1'
_space_group_IT_number 1
_space_group_name_Hall 'P 1'
loop_
_atom_site_label
_atom_site_type_symbol
_atom_site_fract_x
_atom_site_fract_y
_atom_site_fract_z
Zr1 Zr 0.2503 0.2503 0.2503
Zr2 Zr 0.7497 0.7497 0.7497
W1 W 0.5000 0.5000 0.5000
Au1 Au 0.0000 0.0000 0.0000
# - DOS(E_F) (states/eV/atom) = 1.08
# - relative energy among the computed polymorphs (meV per atom) = 388
# - ΔH_f (0 K) (meV/atom) = 146